Record 1
Density functional theory data (GGA-PBE) for a relaxed AcIn3Cu2 crystal.

Lattice parameters (Å, degrees): 17.795 4.509 10.883 90.00 106.93 90.00
Space group C2/m (No. 12)
Symmetry-distinct sites (fractional):
1 Ac 0.000 0.000 0.000 x2
2 Ac 0.157 0.000 0.701 x4
3 In 0.000 0.500 0.500 x2
4 In 0.043 0.000 0.345 x4
5 In 0.127 0.500 0.199 x4
6 In 0.170 0.500 0.958 x4
7 In 0.216 0.000 0.384 x4
8 Cu 0.025 0.500 0.780 x4
9 Cu 0.141 0.500 0.457 x4
10 Cu 0.200 0.000 0.122 x4

## Properties
* density of states at the Fermi level: 2.580 states/eV/f.u.
* V: 835.5 Å³/cell


Record 2
Density functional theory data (GGA-PBE) for a relaxed Ac7In2Cu2 crystal.

Lattice parameters (Å, degrees): 8.657 12.285 7.705 90.00 90.00 90.00
Space group Cmmm (No. 65)
Symmetry-distinct sites (fractional):
1 Ac 0.000 0.000 0.000 x2
2 Ac 0.000 0.500 0.241 x4
3 Ac 0.250 0.250 0.260 x8
4 In 0.167 0.000 0.500 x4
5 Cu 0.000 0.293 0.000 x4

## Properties
* density of states at the Fermi level: 13.604 states/eV/f.u.
* V: 819.4 Å³/cell


Record 3
Density functional theory data (GGA-PBE) for a relaxed Ac5In4Cu crystal.

Lattice parameters (Å, degrees): 3.914 3.914 21.695 90.00 90.00 90.00
Space group P4/mmm (No. 123)
Symmetry-distinct sites (fractional):
1 Ac 0.000 0.000 0.000 x1
2 Ac 0.000 0.000 0.208 x2
3 Ac 0.000 0.000 0.415 x2
4 In 0.500 0.500 0.104 x2
5 In 0.500 0.500 0.312 x2
6 Cu 0.500 0.500 0.500 x1

## Properties
* density of states at the Fermi level: 8.571 states/eV/f.u.
* V: 332.4 Å³/cell


Record 4
Density functional theory data (GGA-PBE) for a relaxed Ac8In2Cu crystal.

Lattice parameters (Å, degrees): 20.405 5.611 7.493 90.00 102.22 90.00
Space group C2/m (No. 12)
Symmetry-distinct sites (fractional):
1 Ac 0.017 0.000 0.276 x4
2 Ac 0.092 0.500 0.959 x4
3 Ac 0.149 0.500 0.477 x4
4 Ac 0.209 0.000 0.804 x4
5 In 0.186 0.000 0.250 x4
6 Cu 0.000 0.500 0.500 x2

## Properties
* density of states at the Fermi level: 11.083 states/eV/f.u.
* V: 838.5 Å³/cell


| no. | DFT formation energy (kJ per mole of atoms) | VASP energy (eV/atom) |
| --- | --- | --- |
| 1 | -24.0 | -3.668 |
| 2 | -5.8 | -3.917 |
| 3 | -34.3 | -3.914 |
| 4 | -13.6 | -3.999 |